Entry 1:
Zn2ReTc: PBEsol geometry, meta-GGA SCAN.

Lattice parameters (Å, degrees): 2.6019 4.3215 5.0596 90.00 101.58 90.00
With the nearest neighbours (Å) after each atom.
Space group P2/m (No. 10)
One atom of each set of equivalent atoms:
Zn1 0.2459 0.0000 0.2510 x2  4 Zn 2.60-2.61, 2 Tc 2.64, 2 Re 2.66
Re1 0.5000 0.5000 0.0000 x1  2 Re 2.60, 2 Tc 2.60, 4 Zn 2.66
Tc1 0.0000 0.5000 0.5000 x1  2 Tc 2.60, 2 Re 2.60, 4 Zn 2.64

Values from the calculation:
As for the formation energy from the elements: 176 meV per atom. The magnetic moment comes out at 0.000 μB/atom. For the energy above the most stable polymorph in this dataset, the calculation gives 188 meV per atom.

Entry 2:
ZnRe3Tc: PBEsol geometry, meta-GGA SCAN.

Lattice parameters (Å, degrees): 4.6059 4.6059 4.6059 90.00 90.00 90.00
With the nearest neighbours (Å) after each atom.
Space group Pm-3m (No. 221)
One atom of each set of equivalent atoms:
Zn1 0.0000 0.0000 0.0000 x1  12 Re 3.26
Re1 0.0000 0.5000 0.5000 x3  2 Tc 2.30
Tc1 0.5000 0.5000 0.5000 x1  6 Re 2.30

Values from the calculation:
As for the formation energy from the elements: 2210 meV per atom. The magnetic moment comes out at 0.290 μB/atom.

Entry 3:
ZnReTc: PBEsol geometry, meta-GGA SCAN.

Lattice parameters (Å, degrees): 2.7417 2.7417 6.5485 90.00 90.00 120.00
With the nearest neighbours (Å) after each atom.
Space group P3m1 (No. 156)
One atom of each set of equivalent atoms:
Zn1 0.0000 0.0000 0.0000 x1  3 Tc 2.74, 6 Zn 2.74, 3 Re 2.76
Re1 0.3333 0.6667 0.6547 x1  3 Tc 2.59, 6 Re 2.74, 3 Zn 2.76
Tc1 0.6667 0.3333 0.3410 x1  3 Re 2.59, 3 Zn 2.74, 6 Tc 2.74

Values from the calculation:
As for the formation energy from the elements: 8 meV per atom. The magnetic moment comes out at 0.000 μB/atom. For the energy above the most stable polymorph in this dataset, the calculation gives 21 meV per atom.

Entry 4:
ZrZnReTc2: PBEsol geometry, meta-GGA SCAN.

Lattice parameters (Å, degrees): 4.6093 4.6093 4.6267 90.00 90.00 90.00
With the nearest neighbours (Å) after each atom.
Space group P4/mmm (No. 123)
One atom of each set of equivalent atoms:
Zr1 0.0000 0.0000 0.0000 x1  4 Zn 3.26, 8 Tc 3.27
Zn1 0.5000 0.5000 0.0000 x1  2 Re 2.31
Re1 0.5000 0.5000 0.5000 x1  4 Tc 2.30, 2 Zn 2.31
Tc1 0.0000 0.5000 0.5000 x2  2 Re 2.30

Values from the calculation:
As for the formation energy from the elements: 1044 meV per atom. The magnetic moment comes out at 0.000 μB/atom.

Entry 5:
ZrReTc2: PBEsol geometry, meta-GGA SCAN.

Lattice parameters (Å, degrees): 2.7630 4.4276 5.1772 90.00 100.83 90.00
With the nearest neighbours (Å) after each atom.
Space group Pm (No. 6)
One atom of each set of equivalent atoms:
Zr1 0.0000 0.0000 0.0000 x1  4 Tc 2.69-2.70, 2 Zr 2.76, 2 Re 2.77
Re1 0.7588 0.5000 0.2700 x1  4 Tc 2.59-2.80, 2 Re 2.76, 2 Zr 2.77
Tc1 0.2287 0.5000 0.7529 x1  2 Re 2.59-2.80, 2 Zr 2.69, 4 Tc 2.76
Tc2 0.5044 0.0000 0.4986 x1  2 Re 2.67, 2 Zr 2.69-2.70, 4 Tc 2.76

Values from the calculation:
As for the formation energy from the elements: -46 meV per atom. The magnetic moment comes out at 0.000 μB/atom.

Entry 6:
ZrRe3Tc: PBEsol geometry, meta-GGA SCAN.

Lattice parameters (Å, degrees): 4.5925 4.5925 4.5925 90.00 90.00 90.00
With the nearest neighbours (Å) after each atom.
Space group Pm-3m (No. 221)
One atom of each set of equivalent atoms:
Zr1 0.0000 0.0000 0.0000 x1  12 Re 3.25
Re1 0.0000 0.5000 0.5000 x3  2 Tc 2.30
Tc1 0.5000 0.5000 0.5000 x1  6 Re 2.30

Values from the calculation:
As for the formation energy from the elements: 1438 meV per atom. The magnetic moment comes out at 0.000 μB/atom.

Entry 7:
Re2Te: PBEsol geometry, meta-GGA SCAN.

Lattice parameters (Å, degrees): 2.9315 18.7108 4.3315 90.00 90.00 90.00
With the nearest neighbours (Å) after each atom.
Space group Cmcm (No. 63)
One atom of each set of equivalent atoms:
Re1 0.0000 0.0387 0.2500 x4  8 Re 2.60-2.73, 2 Te 2.90
Re2 0.0000 0.4202 0.2500 x4  8 Re 2.66-2.93, 2 Te 2.77
Te1 0.0000 0.3278 0.7500 x4  4 Re 2.77-2.90, 2 Te 2.93

Values from the calculation:
The value obtained for the raw formation energy is 0.16 eV/atom. The magnetic moment comes out at 0.000 μB/atom.

Entry 8:
TlRe2Te: PBEsol geometry, meta-GGA SCAN.

Lattice parameters (Å, degrees): 3.1393 4.5307 5.2179 90.00 90.00 90.00
With the nearest neighbours (Å) after each atom.
Space group Pmmm (No. 47)
One atom of each set of equivalent atoms:
Tl1 0.0000 0.0000 0.0000 x1  4 Re 2.76, 4 Te 3.04
Re1 0.0000 0.5000 0.5000 x1  4 Te 2.76, 4 Re 3.04
Re2 0.5000 0.5000 0.0000 x1  4 Tl 2.76, 4 Re 3.04
Te1 0.5000 0.0000 0.5000 x1  4 Re 2.76, 4 Tl 3.04

Values from the calculation:
The value obtained for the raw formation energy is 1.45 eV/atom. The magnetic moment comes out at 0.393 μB/atom. For the energy above the most stable polymorph in this dataset, the calculation gives 379 meV per atom.

Entry 9:
TlRe2Te: PBEsol geometry, meta-GGA SCAN.

Lattice parameters (Å, degrees): 6.5283 6.5283 6.5283 90.00 90.00 90.00
With the nearest neighbours (Å) after each atom.
Space group Fm-3m (No. 225)
One atom of each set of equivalent atoms:
Tl1 0.0000 0.0000 0.0000 x4  8 Re 2.83
Re1 0.2500 0.2500 0.2500 x8  4 Tl 2.83, 4 Te 2.83
Te1 0.0000 0.0000 0.5000 x4  8 Re 2.83

Values from the calculation:
The value obtained for the raw formation energy is 1.20 eV/atom. The magnetic moment comes out at 0.000 μB/atom. For the energy above the most stable polymorph in this dataset, the calculation gives 130 meV per atom.

Entry 10:
TlReTe: PBEsol geometry, meta-GGA SCAN.

Lattice parameters (Å, degrees): 3.2000 3.2000 13.0479 90.00 90.00 90.00
With the nearest neighbours (Å) after each atom.
Space group I4mm (No. 107)
One atom of each set of equivalent atoms:
Tl1 0.0000 0.0000 0.0000 x2  4 Re 3.06, 4 Tl 3.20
Re1 0.0000 0.0000 0.6583 x2  4 Te 2.68
Te1 0.0000 0.0000 0.2685 x2  4 Re 2.68

Values from the calculation:
The value obtained for the raw formation energy is 0.58 eV/atom. The magnetic moment comes out at 0.000 μB/atom. For the energy above the most stable polymorph in this dataset, the calculation gives 0 meV per atom.

Entry 11:
TlRe2Te: PBEsol geometry, meta-GGA SCAN.

Lattice parameters (Å, degrees): 3.0829 5.2377 9.1935 90.00 90.00 90.00
With the nearest neighbours (Å) after each atom.
Space group Immm (No. 71)
One atom of each set of equivalent atoms:
Tl1 0.0000 0.0000 0.0000 x2  4 Re 2.92, 4 Te 3.04, 2 Tl 3.08
Re1 0.0000 0.5000 0.2298 x4  2 Te 2.62, 2 Tl 2.92
Te1 0.0000 0.0000 0.5000 x2  4 Re 2.62

Values from the calculation:
The value obtained for the raw formation energy is 1.36 eV/atom. The magnetic moment comes out at 0.000 μB/atom. For the energy above the most stable polymorph in this dataset, the calculation gives 291 meV per atom.

Entry 12:
TlReTe2: PBEsol geometry, meta-GGA SCAN.

Lattice parameters (Å, degrees): 3.2546 3.2552 19.1786 90.00 90.00 90.00
With the nearest neighbours (Å) after each atom.
Space group Imm2 (No. 44)
One atom of each set of equivalent atoms:
Tl1 0.0000 0.0000 0.0000 x2  4 Tl 3.25-3.26, 2 Te 3.59
Re1 0.0000 0.5000 0.7416 x2  6 Te 2.65-2.71
Te1 0.0000 0.0000 0.3507 x2  2 Re 2.65
Te2 0.0000 0.5000 0.1668 x2  4 Re 2.71

Values from the calculation:
The value obtained for the raw formation energy is 0.24 eV/atom. The magnetic moment comes out at 0.000 μB/atom. For the energy above the most stable polymorph in this dataset, the calculation gives 0 meV per atom.

Entry 13:
TlRe2Te: PBEsol geometry, meta-GGA SCAN.

Lattice parameters (Å, degrees): 8.5846 3.0684 5.7144 90.00 101.57 90.00
With the nearest neighbours (Å) after each atom.
Space group C2/m (No. 12)
One atom of each set of equivalent atoms:
Tl1 0.0000 0.0000 0.0000 x2  6 Re 2.86-2.98, 2 Tl 3.07
Re1 0.2473 0.5000 0.2905 x4  3 Te 2.64-2.73, 2 Re 2.84, 2 Tl 2.86
Te1 0.0000 0.5000 0.5000 x2  6 Re 2.64-2.73

Values from the calculation:
The value obtained for the raw formation energy is 1.07 eV/atom. The magnetic moment comes out at 0.000 μB/atom. For the energy above the most stable polymorph in this dataset, the calculation gives 0 meV per atom.

Entry 14:
TlReTe2: PBEsol geometry, meta-GGA SCAN.

Lattice parameters (Å, degrees): 3.3243 5.1500 11.8251 90.00 90.00 90.00
With the nearest neighbours (Å) after each atom.
Space group Amm2 (No. 38)
One atom of each set of equivalent atoms:
Tl1 0.0000 0.0000 0.0000 x2  2 Re 2.86, 2 Te 3.01
Re1 0.5000 0.0000 0.1964 x2  4 Te 2.58-2.63, 2 Tl 2.86
Te1 0.0000 0.0000 0.3684 x2  2 Re 2.63
Te2 0.5000 0.0000 0.6836 x2  2 Re 2.58

Values from the calculation:
The value obtained for the raw formation energy is 0.33 eV/atom. The magnetic moment comes out at 0.000 μB/atom. For the energy above the most stable polymorph in this dataset, the calculation gives 86 meV per atom.

Entry 15:
TlReTe3: PBEsol geometry, meta-GGA SCAN.

Lattice parameters (Å, degrees): 5.5919 5.5919 5.5919 90.00 90.00 90.00
With the nearest neighbours (Å) after each atom.
Space group Pm-3m (No. 221)
One atom of each set of equivalent atoms:
Tl1 0.0000 0.0000 0.0000 x1  6 Te 2.80
Re1 0.5000 0.5000 0.5000 x1  12 Te 3.95
Te1 0.0000 0.0000 0.5000 x3  2 Tl 2.80

Values from the calculation:
The value obtained for the raw formation energy is 1.80 eV/atom. The magnetic moment comes out at 0.937 μB/atom.

no.,calculated density (g/cm³),V (Å³/cell),electronic total energy (eV per cell)
1,12.4,56,-132.48
2,12.3,98,-250.82
3,13.6,43,-119.65
4,9.1,98,-180.21
5,12.6,62,-172.10
6,12.8,97,-271.86
7,14.0,238,-715.90
8,15.8,74,-246.02
9,16.8,278,-988.09
10,12.9,134,-357.95
11,15.8,148,-492.76
12,10.6,203,-433.96
13,15.9,147,-495.08
14,10.6,202,-433.27
15,7.3,175,-246.21